DFT (PBE) results for crystalline NdSc2RuO8 at its relaxed geometry.

Cell lengths 4.895, 6.630, 4.905 Å; angles 90.00, 91.24, 90.00 degrees
Atoms (fractional coordinates):
Nd: 0.000 0.000 0.000
Sc: 0.500 0.243 0.500
Sc: 0.500 0.757 0.500
Ru: 0.000 0.500 0.000
O: 0.198 0.295 0.196
O: 0.198 0.705 0.196
O: 0.273 0.500 0.725
O: 0.322 0.000 0.675
O: 0.678 0.000 0.325
O: 0.727 0.500 0.275
O: 0.802 0.295 0.804
O: 0.802 0.705 0.804

Values from the calculation:
Volume in Å³/atom: 13.3
Energy relative to the elements, uncorrected in kJ/mol of formula units: -2686.8
N(E_F) in states/eV per cell: 4.13